No. 1
DFT (GGA-PBE) results for a geometry-optimized SiPtN2 structure.

Geometry as extended XYZ:
```
4
Lattice="1.6109 0.0000 6.0155 -0.8054 1.3950 6.0155 -0.8054 -1.3950 6.0155" Properties=species:S:1:pos:R:3 pbc="T T T"
Pt 0.0000 0.0000 0.0000
N 0.0000 0.0000 2.0104
N 0.0000 0.0000 16.0362
Si 0.0000 0.0000 9.0233
```

Properties
symmetry	R-3m (166)
energy relative to the elements, uncorrected	-0.26	eV per atom
DFT total energy	-7.286	eV per atom



No. 2
DFT (GGA-PBE) results for a geometry-optimized Tm4Te2PtSe structure.

Geometry as extended XYZ:
```
8
Lattice="4.0820 0.0000 0.0000 0.0000 7.3699 0.1805 0.0000 -2.5264 6.9874" Properties=species:S:1:pos:R:3 pbc="T T T"
Te 0.0000 2.4217 3.5839
Te 2.0410 -1.2632 3.4937
Tm 2.0410 1.3026 1.5828
Tm 0.0000 4.7737 1.5799
Tm 0.0000 0.0698 5.5880
Tm 2.0410 3.5409 5.5850
Se 0.0000 0.0000 0.0000
Pt 2.0410 3.6849 0.0903
```

Properties
symmetry	P2/m (10)
energy relative to the elements, uncorrected	-1.38	eV per atom
DFT total energy	-5.590	eV per atom



No. 3
DFT (GGA-PBE) results for a geometry-optimized CaMg3Cd9 structure.

Geometry as extended XYZ:
```
13
Lattice="5.5795 0.0834 2.2648 2.7796 7.0794 1.1283 0.1271 0.0417 7.6919" Properties=species:S:1:pos:R:3 pbc="T T T"
Cd 3.5234 1.5922 7.4191
Cd 3.8691 4.6877 6.5465
Cd 2.2453 1.5505 2.5628
Cd 4.6171 2.5169 4.5384
Cd 1.3898 3.5397 0.5641
Cd 4.9628 5.6124 3.6659
Cd 6.6012 2.5586 7.6556
Cd 1.8850 4.6460 3.4294
Cd 6.2410 5.6541 8.5222
Mg 2.8533 0.0626 4.9783
Mg 0.0636 0.0209 3.8460
Mg 4.1795 3.5814 1.6965
Ca 0.0000 0.0000 0.0000
```

Properties
symmetry	C2/m (12)
DFT total energy	-1.292	eV per atom



No. 4
DFT (GGA-PBE) results for a geometry-optimized Y6Er7Tm16 structure.

Geometry as extended XYZ:
```
29
Lattice="9.5072 0.0000 5.4890 3.1691 8.9634 5.4890 0.0000 0.0000 10.9779" Properties=species:S:1:pos:R:3 pbc="T T T"
Er 0.0000 0.0000 0.0000
Er 1.5845 4.4817 8.2335
Er 4.7536 0.0000 2.7445
Er 4.7536 0.0000 8.2335
Er 6.3381 4.4817 5.4890
Er 0.0000 0.0000 5.4890
Er 1.5845 4.4817 2.7445
Tm 2.4248 5.8653 10.9779
Tm 3.1691 5.6941 5.4890
Tm 6.2514 7.8737 16.4669
Tm 4.3814 3.0981 14.3670
Tm 11.1351 7.8737 13.6473
Tm 9.5072 3.2693 16.4669
Tm 8.2948 5.8653 7.5889
Tm 8.2948 5.8653 14.3670
Tm 10.2515 3.0981 10.9779
Tm 1.5412 1.0898 2.6694
Tm 1.5412 1.0898 8.3085
Tm 6.3381 8.6325 10.9779
Tm 11.1351 7.8737 19.2865
Tm 6.3381 0.3310 10.9779
Tm 6.4248 1.0898 5.4890
Tm 4.3814 3.0981 7.5889
Y 4.9734 6.4117 8.6142
Y 9.0675 6.4117 10.9779
Y 7.7028 2.5517 13.3417
Y 3.6087 2.5517 10.9779
Y 7.7028 2.5517 8.6142
Y 4.9734 6.4117 13.3417
```

Properties
symmetry	Fm-3m (225)
DFT total energy	-4.668	eV per atom



Number 1: N(E_F) 1.83 states/eV per cell. Number 2: N(E_F) 3.60 states/eV per cell. Number 3: N(E_F) 5.98 states/eV per cell. Number 4: N(E_F) 54.58 states/eV per cell.